An optimized crystal structure of Mg14GaBi. Source: Alexandria via LeMat-Bulk, functional GGA-PBE.

Values from the calculation:
Crystal system ... hexagonal
Excess energy over the best structure of this formula in the dataset ... 4 meV/atom
D(E_F) ... 6.801 states/eV/cell
Calculated formation energy ... -0.024 eV per atom
Uncorrected energy ... -1.85 eV/atom
Magnetization ... 0.00 μB per cell

abc: 6.4242 6.4242 10.2329
angles: 90.00 90.00 120.00
Space group P-6m2 (No. 187)
Unique sites:
Mg1 0.0000 0.0000 0.2483 (multiplicity 2)
Mg2 0.3294 0.1647 0.5000 (multiplicity 3)
Mg3 0.3343 0.1672 0.0000 (multiplicity 3)
Mg4 0.5017 0.0035 0.2579 (multiplicity 6)
Ga1 0.3333 0.6667 0.5000 (multiplicity 1)
Bi1 0.3333 0.6667 0.0000 (multiplicity 1)

An optimized crystal structure of MgGa2Bi. Source: Alexandria via LeMat-Bulk, functional GGA-PBE.

Values from the calculation:
Crystal system ... trigonal
Excess energy over the best structure of this formula in the dataset ... 41 meV/atom
D(E_F) ... 5.611 states/eV/cell
Calculated formation energy ... 0.011 eV per atom
Uncorrected energy ... -2.87 eV/atom
Magnetization ... 0.00 μB per cell

abc: 4.8298 4.8298 14.2155
angles: 90.00 90.00 120.00
Space group R3m (No. 160, hexagonal axes)
Unique sites:
Mg1 0.0000 0.0000 0.0000 (multiplicity 3)
Ga1 0.0000 0.0000 0.4571 (multiplicity 3)
Ga2 0.0000 0.0000 0.7457 (multiplicity 3)
Bi1 0.0000 0.0000 0.2339 (multiplicity 3)

An optimized crystal structure of Mg3GaBi. Source: Alexandria via LeMat-Bulk, functional GGA-PBE.

Values from the calculation:
Crystal system ... cubic
Excess energy over the best structure of this formula in the dataset ... 598 meV/atom
D(E_F) ... 4.486 states/eV/cell
Calculated formation energy ... 0.487 eV per atom
Uncorrected energy ... -1.85 eV/atom
Magnetization ... 0.00 μB per cell

abc: 5.5506 5.5506 5.5506
angles: 90.00 90.00 90.00
Space group Pm-3m (No. 221)
Unique sites:
Mg1 0.0000 0.0000 0.5000 (multiplicity 3)
Ga1 0.5000 0.5000 0.5000 (multiplicity 1)
Bi1 0.0000 0.0000 0.0000 (multiplicity 1)

An optimized crystal structure of Mg3Ga3Bi. Source: Alexandria via LeMat-Bulk, functional GGA-PBE.

Values from the calculation:
Crystal system ... cubic
D(E_F) ... 6.553 states/eV/cell
Calculated formation energy ... 0.509 eV per atom
Uncorrected energy ... -2.03 eV/atom
Magnetization ... 0.00 μB per cell

abc: 7.4674 7.4674 7.4674
angles: 90.00 90.00 90.00
Space group Pm-3n (No. 223)
Unique sites:
Mg1 0.0000 0.2500 0.5000 (multiplicity 6)
Ga1 0.0000 0.5000 0.2500 (multiplicity 6)
Bi1 0.0000 0.0000 0.0000 (multiplicity 2)

An optimized crystal structure of MgGaBi2. Source: Alexandria via LeMat-Bulk, functional GGA-PBE.

Values from the calculation:
Crystal system ... tetragonal
D(E_F) ... 1.538 states/eV/cell
Calculated formation energy ... 0.003 eV per atom
Uncorrected energy ... -3.09 eV/atom
Magnetization ... 0.00 μB per cell

abc: 4.9516 4.9516 4.3674
angles: 90.00 90.00 90.00
Space group P4/mmm (No. 123)
Unique sites:
Mg1 0.0000 0.0000 0.0000 (multiplicity 1)
Ga1 0.5000 0.5000 0.0000 (multiplicity 1)
Bi1 0.0000 0.5000 0.5000 (multiplicity 2)

An optimized crystal structure of Mg5Ga2Bi. Source: Alexandria via LeMat-Bulk, functional GGA-PBE.

Values from the calculation:
Crystal system ... tetragonal
D(E_F) ... 11.917 states/eV/cell
Calculated formation energy ... -0.119 eV per atom
Uncorrected energy ... -2.36 eV/atom
Magnetization ... 0.00 μB per cell

abc: 7.1526 7.1526 14.2943
angles: 90.00 90.00 90.00
Space group I4/mcm (No. 140)
Unique sites:
Mg1 0.0000 0.0000 0.0000 (multiplicity 4)
Mg2 0.1630 0.3370 0.1378 (multiplicity 16)
Ga1 0.1327 0.3673 0.5000 (multiplicity 8)
Bi1 0.0000 0.0000 0.2500 (multiplicity 4)

An optimized crystal structure of MgGa2Bi. Source: Alexandria via LeMat-Bulk, functional GGA-PBE.

Values from the calculation:
Crystal system ... tetragonal
Excess energy over the best structure of this formula in the dataset ... 80 meV/atom
D(E_F) ... 8.019 states/eV/cell
Calculated formation energy ... 0.051 eV per atom
Uncorrected energy ... -2.83 eV/atom
Magnetization ... 0.00 μB per cell

abc: 8.1845 8.1845 5.8849
angles: 90.00 90.00 90.00
Space group I-42d (No. 122)
Unique sites:
Mg1 0.0000 0.0000 0.0000 (multiplicity 4)
Ga1 0.2467 0.2500 0.6250 (multiplicity 8)
Bi1 0.0000 0.0000 0.5000 (multiplicity 4)

An optimized crystal structure of Mg2Ga2Bi. Source: Alexandria via LeMat-Bulk, functional GGA-PBE.

Values from the calculation:
Crystal system ... tetragonal
Excess energy over the best structure of this formula in the dataset ... 52 meV/atom
D(E_F) ... 5.855 states/eV/cell
Calculated formation energy ... -0.028 eV per atom
Uncorrected energy ... -2.65 eV/atom
Magnetization ... 0.00 μB per cell

abc: 8.2856 8.2856 3.3238
angles: 90.00 90.00 90.00
Space group P4/mbm (No. 127)
Unique sites:
Mg1 0.1302 0.3698 0.0000 (multiplicity 4)
Ga1 0.1687 0.6687 0.5000 (multiplicity 4)
Bi1 0.0000 0.0000 0.0000 (multiplicity 2)

An optimized crystal structure of MgGaBi2. Source: Alexandria via LeMat-Bulk, functional GGA-PBE.

Values from the calculation:
Crystal system ... tetragonal
D(E_F) ... 10.047 states/eV/cell
Calculated formation energy ... 0.069 eV per atom
Uncorrected energy ... -3.03 eV/atom
Magnetization ... 0.00 μB per cell

abc: 6.7563 6.7563 12.3889
angles: 90.00 90.00 90.00
Space group I-42d (No. 122)
Unique sites:
Mg1 0.0000 0.0000 0.0000 (multiplicity 4)
Ga1 0.0000 0.0000 0.5000 (multiplicity 4)
Bi1 0.2312 0.2500 0.6250 (multiplicity 8)

An optimized crystal structure of MgGaBi2. Source: Alexandria via LeMat-Bulk, functional GGA-PBE.

Values from the calculation:
Crystal system ... trigonal
D(E_F) ... 4.575 states/eV/cell
Calculated formation energy ... 0.133 eV per atom
Uncorrected energy ... -2.96 eV/atom
Magnetization ... 0.00 μB per cell

abc: 3.4193 3.4193 34.2682
angles: 90.00 90.00 120.00
Space group R-3m (No. 166, hexagonal axes)
Unique sites:
Mg1 0.0000 0.0000 0.0000 (multiplicity 3)
Ga1 0.0000 0.0000 0.5000 (multiplicity 3)
Bi1 0.0000 0.0000 0.0899 (multiplicity 6)

Please write out number 2 again, unchanged.
An optimized crystal structure of MgGa2Bi. Source: Alexandria via LeMat-Bulk, functional GGA-PBE.

Values from the calculation:
Crystal system ... trigonal
Excess energy over the best structure of this formula in the dataset ... 41 meV/atom
D(E_F) ... 5.611 states/eV/cell
Calculated formation energy ... 0.011 eV per atom
Uncorrected energy ... -2.87 eV/atom
Magnetization ... 0.00 μB per cell

abc: 4.8298 4.8298 14.2155
angles: 90.00 90.00 120.00
Space group R3m (No. 160, hexagonal axes)
Unique sites:
Mg1 0.0000 0.0000 0.0000 (multiplicity 3)
Ga1 0.0000 0.0000 0.4571 (multiplicity 3)
Ga2 0.0000 0.0000 0.7457 (multiplicity 3)
Bi1 0.0000 0.0000 0.2339 (multiplicity 3)

- What is the uncorrected energy in the ninth record?
  -3.03 eV/atom